[1]
First-principles (GGA+U) data for a relaxed structure of Ti2MnNiO6, as listed in Alexandria via LeMat-Bulk.

Summary:
calculated density = 4.70 g cm⁻³
volume = 10.8 A^3/atom
magnetization = 21.000 μB/cell
electronic total energy = -7.96 eV/atom

Cell and atoms, written as CIF:
```
data_Ti2MnNiO6
_cell_length_a 5.1336
_cell_length_b 5.1336
_cell_length_c 14.1853
_cell_angle_alpha 90.00
_cell_angle_beta 90.00
_cell_angle_gamma 120.00
_symmetry_space_group_name_H-M 'R 3'
_symmetry_Int_Tables_number 146
_symmetry_space_group_name_Hall 'R 3'
loop_
_atom_site_label
_atom_site_fract_x
_atom_site_fract_y
_atom_site_fract_z
Ti1 0.0000 0.0000 0.0000
Ti2 0.0000 0.0000 0.2896
Mn1 0.0000 0.0000 0.5014
Ni1 0.0000 0.0000 0.7926
O1 0.0168 0.6329 0.5637
O2 0.0292 0.3483 0.0546
```

***

[2]
First-principles (GGA+U) data for a relaxed structure of UMnNiO6, as listed in Alexandria via LeMat-Bulk.

Summary:
calculated density = 7.29 g cm⁻³
volume = 11.3 A^3/atom
magnetization = 9.988 μB/cell
electronic total energy = -7.62 eV/atom

Cell and atoms, written as CIF:
```
data_UMnNiO6
_cell_length_a 5.1498
_cell_length_b 5.1498
_cell_length_c 8.8792
_cell_angle_alpha 90.00
_cell_angle_beta 90.00
_cell_angle_gamma 120.00
_symmetry_space_group_name_H-M 'P -3 1 c'
_symmetry_Int_Tables_number 163
_symmetry_space_group_name_Hall '-P 3 2c'
loop_
_atom_site_label
_atom_site_fract_x
_atom_site_fract_y
_atom_site_fract_z
U1 0.3333 0.6667 0.2500
Mn1 0.0000 0.0000 0.0000
Ni1 0.3333 0.6667 0.7500
O1 0.0019 0.3204 0.6239
```

***

[3]
First-principles (GGA+U) data for a relaxed structure of MnV4NiO12, as listed in Alexandria via LeMat-Bulk.

Summary:
calculated density = 3.27 g cm⁻³
volume = 14.4 A^3/atom
magnetization = 14.000 μB/cell
electronic total energy = -7.29 eV/atom

Cell and atoms, written as CIF:
```
data_MnV4NiO12
_cell_length_a 10.201
_cell_length_b 9.181
_cell_length_c 5.911
_cell_angle_alpha 90.00
_cell_angle_beta 110.91
_cell_angle_gamma 90.00
_symmetry_space_group_name_H-M 'C 1 2 1'
_symmetry_Int_Tables_number 5
loop_
_symmetry_equiv_pos_as_xyz
'x,y,z'
'-x,y,-z'
'x+1/2,y+1/2,z'
'-x+1/2,y+1/2,-z'
loop_
_atom_site_label
_atom_site_fract_x
_atom_site_fract_y
_atom_site_fract_z
Mn1 0.000 0.000 0.000
V1 0.201 0.496 0.492
V2 0.205 0.675 0.999
Ni1 0.000 0.172 0.500
O1 0.115 0.163 0.876
O2 0.119 0.008 0.401
O3 0.136 0.578 0.197
O4 0.143 0.323 0.473
O5 0.143 0.596 0.701
O6 0.151 0.848 0.981
```

***

[4]
First-principles (GGA+U) data for a relaxed structure of Mn2V3NiO8, as listed in Alexandria via LeMat-Bulk.

Summary:
calculated density = 4.65 g cm⁻³
volume = 11.5 A^3/atom
magnetization = 51.000 μB/cell
electronic total energy = -7.50 eV/atom

Cell and atoms, written as CIF:
```
data_Mn2V3NiO8
_cell_length_a 6.0928
_cell_length_b 6.0928
_cell_length_c 14.9857
_cell_angle_alpha 90.00
_cell_angle_beta 90.00
_cell_angle_gamma 120.00
_symmetry_space_group_name_H-M 'R -3 m'
_symmetry_Int_Tables_number 166
_symmetry_space_group_name_Hall '-R 3 2"'
loop_
_atom_site_label
_atom_site_fract_x
_atom_site_fract_y
_atom_site_fract_z
Mn1 0.0000 0.0000 0.1231
V1 0.0000 0.5000 0.0000
Ni1 0.0000 0.0000 0.5000
O1 0.0000 0.0000 0.2611
O2 0.0316 0.5158 0.2581
```

***

[5]
First-principles (GGA+U) data for a relaxed structure of MnNi2WO6, as listed in Alexandria via LeMat-Bulk.

Summary:
calculated density = 6.71 g cm⁻³
volume = 11.2 A^3/atom
magnetization = 27.000 μB/cell
electronic total energy = -6.54 eV/atom

Cell and atoms, written as CIF:
```
data_MnNi2WO6
_cell_length_a 5.2171
_cell_length_b 5.2171
_cell_length_c 14.2442
_cell_angle_alpha 90.00
_cell_angle_beta 90.00
_cell_angle_gamma 120.00
_symmetry_space_group_name_H-M 'R 3'
_symmetry_Int_Tables_number 146
_symmetry_space_group_name_Hall 'R 3'
loop_
_atom_site_label
_atom_site_fract_x
_atom_site_fract_y
_atom_site_fract_z
Mn1 0.0000 0.0000 0.0000
Ni1 0.0000 0.0000 0.2907
Ni2 0.0000 0.0000 0.7921
W1 0.0000 0.0000 0.4902
O1 0.0029 0.3554 0.2226
O2 0.0084 0.7144 0.3973
```

***

[6]
First-principles (GGA+U) data for a relaxed structure of Y4Mn3NiO12, as listed in Alexandria via LeMat-Bulk.

Summary:
calculated density = 5.57 g cm⁻³
volume = 11.5 A^3/atom
magnetization = 13.000 μB/cell
electronic total energy = -8.04 eV/atom

Cell and atoms, written as CIF:
```
data_Y4Mn3NiO12
_cell_length_a 5.301
_cell_length_b 5.675
_cell_length_c 7.640
_cell_angle_alpha 89.97
_cell_angle_beta 89.33
_cell_angle_gamma 89.37
_symmetry_space_group_name_H-M 'P -1'
_symmetry_Int_Tables_number 2
loop_
_symmetry_equiv_pos_as_xyz
'x,y,z'
'-x,-y,-z'
loop_
_atom_site_label
_atom_site_fract_x
_atom_site_fract_y
_atom_site_fract_z
Y1 0.019 0.429 0.249
Y2 0.479 0.923 0.245
Mn1 0.000 0.000 0.000
Mn2 0.000 0.000 0.500
Mn3 0.500 0.500 0.500
Ni1 0.500 0.500 0.000
O1 0.115 0.959 0.759
O2 0.183 0.707 0.059
O3 0.196 0.688 0.445
O4 0.295 0.181 0.440
O5 0.297 0.187 0.053
O6 0.391 0.464 0.744
```

***

[7]
First-principles (GGA+U) data for a relaxed structure of Mn4Zn3Ni2O12, as listed in Alexandria via LeMat-Bulk.

Summary:
calculated density = 5.30 g cm⁻³
volume = 10.8 A^3/atom
magnetization = 72.000 μB/cell
electronic total energy = -6.11 eV/atom

Cell and atoms, written as CIF:
```
data_Mn4Zn3Ni2O12
_cell_length_a 8.449
_cell_length_b 8.536
_cell_length_c 13.238
_cell_angle_alpha 90.00
_cell_angle_beta 107.75
_cell_angle_gamma 90.00
_symmetry_space_group_name_H-M 'C 1 2/c 1'
_symmetry_Int_Tables_number 15
loop_
_symmetry_equiv_pos_as_xyz
'x,y,z'
'-x,-y,-z'
'-x,y,-z+1/2'
'x,-y,z+1/2'
'x+1/2,y+1/2,z'
'-x+1/2,-y+1/2,-z'
'-x+1/2,y+1/2,-z+1/2'
'x+1/2,-y+1/2,z+1/2'
loop_
_atom_site_label
_atom_site_fract_x
_atom_site_fract_y
_atom_site_fract_z
Mn1 0.000 0.000 0.000
Mn2 0.164 0.494 0.334
Mn3 0.250 0.250 0.000
Zn1 0.000 0.135 0.750
Zn2 0.160 0.361 0.583
Ni1 0.086 0.245 0.169
O1 0.022 0.226 0.005
O2 0.075 0.494 0.177
O3 0.103 0.000 0.163
O4 0.156 0.269 0.329
O5 0.175 0.275 0.843
O6 0.241 0.496 0.487
```